one | The following is a PBE calculation of an optimized crystal structure of InTeP2Cl, from Alexandria via LeMat-Bulk.

Values from the calculation:
Calculated volume: 161.6 Å³ per cell
Spin magnetization: 0.16 μB per formula unit

Cell and atoms, written as extended XYZ:
```
5
Lattice="5.2134 0.0000 0.0000 0.0000 5.2134 0.0000 0.0000 0.0000 5.9454" Properties=species:S:1:pos:R:3 pbc="T T T"
Cl 0.0000 0.0000 2.9727
Te 0.0000 0.0000 0.0000
P 0.0000 2.6067 0.0000
P 2.6067 0.0000 0.0000
In 2.6067 2.6067 2.9727
```

---

two | The following is a PBE calculation of an optimized crystal structure of InTeP2Cl, from Alexandria via LeMat-Bulk.

Values from the calculation:
Calculated volume: 133.8 Å³ per cell
Spin magnetization: 0.00 μB per formula unit

Cell and atoms, written as extended XYZ:
```
5
Lattice="5.2144 0.0000 0.0000 0.0000 5.2144 0.0000 0.0000 0.0000 4.9192" Properties=species:S:1:pos:R:3 pbc="T T T"
Cl 0.0000 0.0000 2.4596
Te 2.6072 2.6072 2.4596
P 0.0000 2.6072 0.0000
P 2.6072 0.0000 0.0000
In 0.0000 0.0000 0.0000
```

---

Last place for stability: two

---

one | The following is a PBE calculation of an optimized crystal structure of TiInPCl2, from Alexandria via LeMat-Bulk.

Values from the calculation:
Calculated volume: 116.3 Å³ per cell
Spin magnetization: 0.22 μB per formula unit

Cell and atoms, written as extended XYZ:
```
5
Lattice="-2.3479 -1.4268 -4.0006 -1.0567 -4.2313 2.1292 -4.1840 1.9336 1.7660" Properties=species:S:1:pos:R:3 pbc="T T T"
Cl -0.5284 -2.1156 1.0646
Cl -1.1740 -0.7134 -2.0003
Ti 0.0000 0.0000 0.0000
P -2.0920 0.9668 0.8830
In -3.7943 -1.8622 -0.0527
```

---

two | The following is a PBE calculation of an optimized crystal structure of TiInPCl2, from Alexandria via LeMat-Bulk.

Values from the calculation:
Calculated volume: 132.2 Å³ per cell
Spin magnetization: 1.81 μB per formula unit

Cell and atoms, written as extended XYZ:
```
5
Lattice="4.9546 0.0000 0.0000 0.0000 4.9546 0.0000 0.0000 0.0000 5.3842" Properties=species:S:1:pos:R:3 pbc="T T T"
Cl 0.0000 2.4773 0.0000
Cl 2.4773 0.0000 0.0000
Ti 2.4773 2.4773 2.6921
P 0.0000 0.0000 2.6921
In 0.0000 0.0000 0.0000
```

---

Last place for stability: two

---

one | The following is a PBE calculation of an optimized crystal structure of TlInP2Cl, from Alexandria via LeMat-Bulk.

Values from the calculation:
Calculated volume: 145.5 Å³ per cell
Spin magnetization: 1.21 μB per formula unit

Cell and atoms, written as extended XYZ:
```
5
Lattice="5.1117 0.0000 0.0000 0.0000 5.1117 0.0000 0.0000 0.0000 5.5682" Properties=species:S:1:pos:R:3 pbc="T T T"
P 0.0000 2.5558 0.0000
P 2.5558 0.0000 0.0000
Tl 2.5558 2.5558 2.7841
Cl 0.0000 0.0000 2.7841
In 0.0000 0.0000 0.0000
```

---

two | The following is a PBE calculation of an optimized crystal structure of TlInP2Cl, from Alexandria via LeMat-Bulk.

Values from the calculation:
Calculated volume: 167.5 Å³ per cell
Spin magnetization: 2.14 μB per formula unit

Cell and atoms, written as extended XYZ:
```
5
Lattice="5.3490 0.0000 0.0000 0.0000 5.3490 0.0000 0.0000 0.0000 5.8544" Properties=species:S:1:pos:R:3 pbc="T T T"
P 0.0000 2.6745 0.0000
P 2.6745 0.0000 0.0000
Tl 0.0000 0.0000 0.0000
Cl 0.0000 0.0000 2.9272
In 2.6745 2.6745 2.9272
```

---

Last place for stability: two

---

one | The following is a PBE calculation of an optimized crystal structure of VInP2Cl, from Alexandria via LeMat-Bulk.

Values from the calculation:
Calculated volume: 111.9 Å³ per cell
Spin magnetization: 0.00 μB per formula unit

Cell and atoms, written as extended XYZ:
```
5
Lattice="-1.3561 -2.5205 3.5997 3.7446 -2.6343 -0.4339 2.6456 3.2247 3.2545" Properties=species:S:1:pos:R:3 pbc="T T T"
Cl 1.3228 1.6123 1.6273
V 0.0000 0.0000 0.0000
P 1.8723 -1.3172 -0.2169
P -0.6780 -1.2603 1.7999
In 2.5171 -0.9651 3.2102
```

---

two | The following is a PBE calculation of an optimized crystal structure of VInP2Cl, from Alexandria via LeMat-Bulk.

Values from the calculation:
Calculated volume: 130.4 Å³ per cell
Spin magnetization: 2.62 μB per formula unit

Cell and atoms, written as extended XYZ:
```
5
Lattice="5.0664 0.0000 0.0000 0.0000 5.0664 0.0000 0.0000 0.0000 5.0809" Properties=species:S:1:pos:R:3 pbc="T T T"
Cl 0.0000 0.0000 2.5404
V 2.5332 2.5332 2.5404
P 0.0000 2.5332 0.0000
P 2.5332 0.0000 0.0000
In 0.0000 0.0000 0.0000
```

---

Last place for stability: two

---

one | The following is a PBE calculation of an optimized crystal structure of VInPCl2, from Alexandria via LeMat-Bulk.

Values from the calculation:
Calculated volume: 134.1 Å³ per cell
Spin magnetization: 3.47 μB per formula unit

Cell and atoms, written as extended XYZ:
```
5
Lattice="5.3674 0.0000 0.0000 0.0000 4.6543 0.0000 0.0000 0.0000 5.3674" Properties=species:S:1:pos:R:3 pbc="T T T"
Cl 0.0000 0.0000 2.6837
Cl 2.6837 0.0000 0.0000
V 0.0000 2.3271 0.0000
P 0.0000 0.0000 0.0000
In 2.6837 2.3271 2.6837
```

---

two | The following is a PBE calculation of an optimized crystal structure of VInPCl2, from Alexandria via LeMat-Bulk.

Values from the calculation:
Calculated volume: 134.2 Å³ per cell
Spin magnetization: 1.02 μB per formula unit

Cell and atoms, written as extended XYZ:
```
5
Lattice="5.1478 0.0000 0.0000 0.0000 5.1478 0.0000 0.0000 0.0000 5.0640" Properties=species:S:1:pos:R:3 pbc="T T T"
Cl 0.0000 2.5739 0.0000
Cl 2.5739 0.0000 0.0000
V 0.0000 0.0000 0.0000
P 0.0000 0.0000 2.5320
In 2.5739 2.5739 2.5320
```

---

three | The following is a PBE calculation of an optimized crystal structure of VInPCl2, from Alexandria via LeMat-Bulk.

Values from the calculation:
Calculated volume: 140.7 Å³ per cell
Spin magnetization: 2.85 μB per formula unit

Cell and atoms, written as extended XYZ:
```
5
Lattice="5.2466 0.0000 0.0000 0.0000 5.2466 0.0000 0.0000 0.0000 5.1117" Properties=species:S:1:pos:R:3 pbc="T T T"
Cl 0.0000 2.6233 0.0000
Cl 2.6233 0.0000 0.0000
V 2.6233 2.6233 2.5558
P 0.0000 0.0000 2.5558
In 0.0000 0.0000 0.0000
```

---

Last place for stability: three

---

one | The following is a PBE calculation of an optimized crystal structure of ZrInP2Cl, from Alexandria via LeMat-Bulk.

Values from the calculation:
Calculated volume: 135.1 Å³ per cell
Spin magnetization: 0.55 μB per formula unit

Cell and atoms, written as extended XYZ:
```
5
Lattice="5.1727 0.0000 0.0000 0.0000 5.1727 0.0000 0.0000 0.0000 5.0486" Properties=species:S:1:pos:R:3 pbc="T T T"
P 0.0000 2.5863 0.0000
P 2.5863 0.0000 0.0000
Cl 0.0000 0.0000 2.5243
Zr 2.5863 2.5863 2.5243
In 0.0000 0.0000 0.0000
```

---

two | The following is a PBE calculation of an optimized crystal structure of ZrInP2Cl, from Alexandria via LeMat-Bulk.

Values from the calculation:
Calculated volume: 132.5 Å³ per cell
Spin magnetization: 0.00 μB per formula unit

Cell and atoms, written as extended XYZ:
```
5
Lattice="-0.3224 -4.9617 1.0213 3.2095 0.5917 3.8877 -3.9710 0.9044 3.1406" Properties=species:S:1:pos:R:3 pbc="T T T"
P 1.6048 0.2958 1.9438
P -0.1612 -2.4808 0.5106
Cl -1.9855 0.4522 1.5703
Zr 0.0000 0.0000 0.0000
In -0.5419 -1.7328 4.0248
```

---

Last place for stability: one